No. 1
{
  "formula": "SiNi2",
  "functional": "GGA-PBEsol",
  "state": "relaxed",
  "lattice": [[3.8678, 0.0000, 0.0000], [-1.9339, 3.3496, 0.0000], [0.0000, 0.0000, 4.9098]],
  "species": ["Si", "Si", "Ni", "Ni", "Ni", "Ni"],
  "fractional_positions": [[0.3333, 0.6667, 0.2500], [0.6667, 0.3333, 0.7500], [0.0000, 0.0000, 0.0000], [0.0000, 0.0000, 0.5000], [0.3333, 0.6667, 0.7500], [0.6667, 0.3333, 0.2500]],
  "m_tot_mub_per_cell": 0.00,
  "raw_formation_energy_ev_per_atom": -0.581,
  "spacegroup": "No. 194"
}


No. 2
{
  "formula": "SiNi3",
  "functional": "GGA-PBEsol",
  "state": "relaxed",
  "lattice": [[3.4581, 0.0000, 0.0000], [0.0000, 3.4581, 0.0000], [0.0000, 0.0000, 3.4581]],
  "species": ["Si", "Ni", "Ni", "Ni"],
  "fractional_positions": [[0.0000, 0.0000, 0.0000], [0.0000, 0.5000, 0.5000], [0.5000, 0.0000, 0.5000], [0.5000, 0.5000, 0.0000]],
  "m_tot_mub_per_cell": 0.00,
  "raw_formation_energy_ev_per_atom": -0.531,
  "spacegroup": "No. 221"
}


No. 3
{
  "formula": "Si3Ni5",
  "functional": "GGA-PBEsol",
  "state": "relaxed",
  "lattice": [[6.2944, 0.0000, 0.0000], [0.0000, 7.3592, 0.0000], [0.0000, 0.0000, 3.6753]],
  "species": ["Si", "Si", "Si", "Si", "Si", "Si", "Ni", "Ni", "Ni", "Ni", "Ni", "Ni", "Ni", "Ni", "Ni", "Ni"],
  "fractional_positions": [[0.0000, 0.0000, 0.0000], [0.0000, 0.2922, 0.5000], [0.0000, 0.7078, 0.5000], [0.5000, 0.2078, 0.5000], [0.5000, 0.5000, 0.0000], [0.5000, 0.7922, 0.5000], [0.0000, 0.5000, 0.0000], [0.2039, 0.0000, 0.5000], [0.2500, 0.2500, 0.0000], [0.2500, 0.7500, 0.0000], [0.2961, 0.5000, 0.5000], [0.5000, 0.0000, 0.0000], [0.7039, 0.5000, 0.5000], [0.7500, 0.2500, 0.0000], [0.7500, 0.7500, 0.0000], [0.7961, 0.0000, 0.5000]],
  "m_tot_mub_per_cell": 0.00,
  "raw_formation_energy_ev_per_atom": -0.567,
  "polymorph_energy_mev_per_atom": 0,
  "spacegroup": "No. 65"
}


No. 4
{
  "formula": "Si2Ni",
  "functional": "GGA-PBEsol",
  "state": "relaxed",
  "lattice": [[5.3947, 0.0000, 0.0000], [0.0000, 5.3947, 0.0000], [0.0000, 0.0000, 5.3947]],
  "species": ["Si", "Si", "Si", "Si", "Si", "Si", "Si", "Si", "Ni", "Ni", "Ni", "Ni"],
  "fractional_positions": [[0.2500, 0.2500, 0.2500], [0.2500, 0.2500, 0.7500], [0.2500, 0.7500, 0.2500], [0.2500, 0.7500, 0.7500], [0.7500, 0.2500, 0.2500], [0.7500, 0.2500, 0.7500], [0.7500, 0.7500, 0.2500], [0.7500, 0.7500, 0.7500], [0.0000, 0.0000, 0.0000], [0.0000, 0.5000, 0.5000], [0.5000, 0.0000, 0.5000], [0.5000, 0.5000, 0.0000]],
  "m_tot_mub_per_cell": 0.00,
  "raw_formation_energy_ev_per_atom": -0.453,
  "spacegroup": "No. 225"
}


No. 5
{
  "formula": "SiNi5",
  "functional": "GGA-PBEsol",
  "state": "relaxed",
  "lattice": [[4.2350, 0.0000, 0.0000], [-2.1175, 3.6676, 0.0000], [0.0000, 0.0000, 3.9856]],
  "species": ["Si", "Ni", "Ni", "Ni", "Ni", "Ni"],
  "fractional_positions": [[0.0000, 0.0000, 0.0000], [0.0000, 0.6674, 0.5000], [0.3326, 0.3326, 0.5000], [0.3333, 0.6667, 0.0000], [0.6674, 0.0000, 0.5000], [0.6667, 0.3333, 0.0000]],
  "m_tot_mub_per_cell": 0.00,
  "raw_formation_energy_ev_per_atom": -0.326,
  "spacegroup": "No. 189"
}


No. 6
{
  "formula": "Si2Ni",
  "functional": "GGA-PBEsol",
  "state": "relaxed",
  "lattice": [[9.9061, 0.0000, 0.0000], [0.0000, 2.8070, 0.0000], [-2.6838, 0.0000, 5.3494]],
  "species": ["Si", "Si", "Si", "Si", "Si", "Si", "Si", "Si", "Ni", "Ni", "Ni", "Ni"],
  "fractional_positions": [[0.0556, 0.0000, 0.2787], [0.1827, 0.5000, 0.6696], [0.3173, 0.0000, 0.3304], [0.4444, 0.5000, 0.7213], [0.5556, 0.5000, 0.2787], [0.6827, 0.0000, 0.6696], [0.8173, 0.5000, 0.3304], [0.9444, 0.0000, 0.7213], [0.1351, 0.5000, 0.0092], [0.3649, 0.0000, 0.9908], [0.6351, 0.0000, 0.0092], [0.8649, 0.5000, 0.9908]],
  "m_tot_mub_per_cell": 0.00,
  "raw_formation_energy_ev_per_atom": -0.171,
  "spacegroup": "No. 12"
}


No. 7
{
  "formula": "Si12Ni31",
  "functional": "GGA-PBEsol",
  "state": "relaxed",
  "lattice": [[6.5816, 0.0000, 0.0000], [-3.2908, 5.6999, 0.0000], [0.0000, 0.0000, 12.1303]],
  "species": ["Si", "Si", "Si", "Si", "Si", "Si", "Si", "Si", "Si", "Si", "Si", "Si", "Ni", "Ni", "Ni", "Ni", "Ni", "Ni", "Ni", "Ni", "Ni", "Ni", "Ni", "Ni", "Ni", "Ni", "Ni", "Ni", "Ni", "Ni", "Ni", "Ni", "Ni", "Ni", "Ni", "Ni", "Ni", "Ni", "Ni", "Ni", "Ni", "Ni", "Ni"],
  "fractional_positions": [[0.0000, 0.0000, 0.2062], [0.0000, 0.0000, 0.7938], [0.0000, 0.3509, 0.0000], [0.0000, 0.6817, 0.5000], [0.3183, 0.3183, 0.5000], [0.3333, 0.6667, 0.2743], [0.3333, 0.6667, 0.7760], [0.3509, 0.0000, 0.0000], [0.6491, 0.6491, 0.0000], [0.6667, 0.3333, 0.2240], [0.6667, 0.3333, 0.7257], [0.6817, 0.0000, 0.5000], [0.0000, 0.0000, 0.0000], [0.0000, 0.0000, 0.4026], [0.0000, 0.0000, 0.5974], [0.0336, 0.3582, 0.1951], [0.0369, 0.7025, 0.6975], [0.0590, 0.6922, 0.9033], [0.0763, 0.4098, 0.4043], [0.2975, 0.3344, 0.6975], [0.3078, 0.3668, 0.9033], [0.3246, 0.9664, 0.1951], [0.3333, 0.6667, 0.0667], [0.3333, 0.6667, 0.5726], [0.3344, 0.2975, 0.3025], [0.3335, 0.9237, 0.4043], [0.3582, 0.0336, 0.8049], [0.3668, 0.3078, 0.0967], [0.4098, 0.0763, 0.5957], [0.5902, 0.6665, 0.4043], [0.6332, 0.9410, 0.9033], [0.6418, 0.6754, 0.1951], [0.6665, 0.5902, 0.5957], [0.6656, 0.9631, 0.6975], [0.6667, 0.3333, 0.4274], [0.6667, 0.3333, 0.9333], [0.6754, 0.6418, 0.8049], [0.6922, 0.0590, 0.0967], [0.7025, 0.0369, 0.3025], [0.9237, 0.3335, 0.5957], [0.9410, 0.6332, 0.0967], [0.9631, 0.6656, 0.3025], [0.9664, 0.3246, 0.8049]],
  "m_tot_mub_per_cell": 0.00,
  "raw_formation_energy_ev_per_atom": -0.555,
  "spacegroup": "No. 150"
}


No. 8
{
  "formula": "SiNi5",
  "functional": "GGA-PBEsol",
  "state": "relaxed",
  "lattice": [[3.9755, 0.0000, 0.0000], [0.0000, 2.5387, 0.0000], [0.0000, 0.0000, 12.3581]],
  "species": ["Si", "Si", "Ni", "Ni", "Ni", "Ni", "Ni", "Ni", "Ni", "Ni", "Ni", "Ni"],
  "fractional_positions": [[0.0000, 0.0000, 0.0000], [0.0000, 0.5000, 0.5000], [0.0000, 0.0000, 0.3368], [0.0000, 0.0000, 0.6619], [0.0000, 0.5000, 0.1619], [0.0000, 0.5000, 0.8368], [0.5000, 0.0000, 0.1196], [0.5000, 0.0000, 0.4519], [0.5000, 0.0000, 0.7839], [0.5000, 0.5000, 0.2839], [0.5000, 0.5000, 0.6196], [0.5000, 0.5000, 0.9519]],
  "m_tot_mub_per_cell": 2.05,
  "raw_formation_energy_ev_per_atom": -0.258,
  "spacegroup": "No. 38"
}


No. 9
{
  "formula": "SiNi3",
  "functional": "GGA-PBEsol",
  "state": "relaxed",
  "lattice": [[2.5818, 0.0000, 0.0000], [0.0000, 3.9154, 0.0000], [0.0000, 0.0000, 4.1350]],
  "species": ["Si", "Ni", "Ni", "Ni"],
  "fractional_positions": [[0.0000, 0.0000, 0.0000], [0.0000, 0.5000, 0.6520], [0.5000, 0.0000, 0.5024], [0.5000, 0.5000, 0.1501]],
  "m_tot_mub_per_cell": 0.00,
  "raw_formation_energy_ev_per_atom": -0.395,
  "spacegroup": "No. 25"
}


No. 10
{
  "formula": "SiNi5",
  "functional": "GGA-PBEsol",
  "state": "relaxed",
  "lattice": [[3.4966, 0.0000, 0.0000], [0.0000, 10.2099, 0.0000], [0.0000, 0.0000, 3.4723]],
  "species": ["Si", "Si", "Ni", "Ni", "Ni", "Ni", "Ni", "Ni", "Ni", "Ni", "Ni", "Ni"],
  "fractional_positions": [[0.0000, 0.0000, 0.0000], [0.5000, 0.5000, 0.0000], [0.0000, 0.1658, 0.5000], [0.0000, 0.3361, 0.0000], [0.0000, 0.5000, 0.5000], [0.0000, 0.6639, 0.0000], [0.0000, 0.8342, 0.5000], [0.5000, 0.0000, 0.5000], [0.5000, 0.1639, 0.0000], [0.5000, 0.3342, 0.5000], [0.5000, 0.6658, 0.5000], [0.5000, 0.8361, 0.0000]],
  "m_tot_mub_per_cell": 1.15,
  "raw_formation_energy_ev_per_atom": -0.332,
  "spacegroup": "No. 65"
}


No. 11
{
  "formula": "SiNi2",
  "functional": "GGA-PBEsol",
  "state": "relaxed",
  "lattice": [[4.9049, 0.0000, 0.0000], [0.0000, 3.7013, 0.0000], [0.0000, 0.0000, 7.0013]],
  "species": ["Si", "Si", "Si", "Si", "Ni", "Ni", "Ni", "Ni", "Ni", "Ni", "Ni", "Ni"],
  "fractional_positions": [[0.2074, 0.2500, 0.1132], [0.2926, 0.7500, 0.6132], [0.7074, 0.2500, 0.3868], [0.7926, 0.7500, 0.8868], [0.0430, 0.2500, 0.7921], [0.1715, 0.2500, 0.4399], [0.3285, 0.7500, 0.9399], [0.4570, 0.7500, 0.2921], [0.5430, 0.2500, 0.7079], [0.6715, 0.2500, 0.0601], [0.8285, 0.7500, 0.5601], [0.9570, 0.7500, 0.2079]],
  "m_tot_mub_per_cell": 0.00,
  "raw_formation_energy_ev_per_atom": -0.627,
  "spacegroup": "No. 62"
}


No. 12
{
  "formula": "SiNi2",
  "functional": "GGA-PBEsol",
  "state": "relaxed",
  "lattice": [[8.6619, 0.0000, 0.0000], [0.0000, 2.5844, 0.0000], [-2.0769, 0.0000, 5.6633]],
  "species": ["Si", "Si", "Si", "Si", "Ni", "Ni", "Ni", "Ni", "Ni", "Ni", "Ni", "Ni"],
  "fractional_positions": [[0.0326, 0.0000, 0.2708], [0.4674, 0.5000, 0.7292], [0.5326, 0.5000, 0.2708], [0.9674, 0.0000, 0.7292], [0.1456, 0.5000, 0.0395], [0.1599, 0.5000, 0.6085], [0.3401, 0.0000, 0.3915], [0.3544, 0.0000, 0.9605], [0.6456, 0.0000, 0.0395], [0.6599, 0.0000, 0.6085], [0.8401, 0.5000, 0.3915], [0.8544, 0.5000, 0.9605]],
  "m_tot_mub_per_cell": 0.00,
  "raw_formation_energy_ev_per_atom": -0.521,
  "spacegroup": "No. 12"
}


No. 13
{
  "formula": "Si2Ni3",
  "functional": "GGA-PBEsol",
  "state": "relaxed",
  "lattice": [[3.7931, 0.0000, 0.0000], [-1.8966, 3.2850, 0.0000], [0.0000, 0.0000, 4.7071]],
  "species": ["Si", "Si", "Ni", "Ni", "Ni"],
  "fractional_positions": [[0.3333, 0.6667, 0.3155], [0.6667, 0.3333, 0.6845], [0.0000, 0.0000, 0.5000], [0.3333, 0.6667, 0.8291], [0.6667, 0.3333, 0.1709]],
  "m_tot_mub_per_cell": 0.00,
  "raw_formation_energy_ev_per_atom": -0.462,
  "spacegroup": "No. 164"
}


No. 14
{
  "formula": "SiNi2",
  "functional": "GGA-PBEsol",
  "state": "relaxed",
  "lattice": [[3.3173, 0.0000, 0.0000], [0.0000, 10.6926, 0.0000], [0.0000, 0.0000, 3.5782]],
  "species": ["Si", "Si", "Si", "Si", "Ni", "Ni", "Ni", "Ni", "Ni", "Ni", "Ni", "Ni"],
  "fractional_positions": [[0.0000, 0.0994, 0.2500], [0.0000, 0.9006, 0.7500], [0.5000, 0.4006, 0.7500], [0.5000, 0.5994, 0.2500], [0.0000, 0.2540, 0.7500], [0.0000, 0.4254, 0.2500], [0.0000, 0.5746, 0.7500], [0.0000, 0.7460, 0.2500], [0.5000, 0.0746, 0.7500], [0.5000, 0.2460, 0.2500], [0.5000, 0.7540, 0.7500], [0.5000, 0.9254, 0.2500]],
  "m_tot_mub_per_cell": 0.00,
  "raw_formation_energy_ev_per_atom": -0.539,
  "spacegroup": "No. 63"
}


No. 15
{
  "formula": "SiNi3",
  "functional": "GGA-PBEsol",
  "state": "relaxed",
  "lattice": [[4.8719, 0.0000, 0.0000], [0.0000, 6.5981, 0.0000], [0.0000, 0.0000, 2.6043]],
  "species": ["Si", "Si", "Ni", "Ni", "Ni", "Ni", "Ni", "Ni"],
  "fractional_positions": [[0.0000, 0.0000, 0.0000], [0.5000, 0.5000, 0.0000], [0.0000, 0.5000, 0.0000], [0.2500, 0.2500, 0.5000], [0.2500, 0.7500, 0.5000], [0.5000, 0.0000, 0.0000], [0.7500, 0.2500, 0.5000], [0.7500, 0.7500, 0.5000]],
  "m_tot_mub_per_cell": 0.01,
  "raw_formation_energy_ev_per_atom": -0.394,
  "spacegroup": "No. 65"
}


No. 16
{
  "formula": "Si3Ni5",
  "functional": "GGA-PBEsol",
  "state": "relaxed",
  "lattice": [[-4.3225, 4.3225, 2.3420], [4.3225, -4.3225, 2.3420], [4.3225, 4.3225, -2.3420]],
  "species": ["Si", "Si", "Si", "Si", "Si", "Si", "Ni", "Ni", "Ni", "Ni", "Ni", "Ni", "Ni", "Ni", "Ni", "Ni"],
  "fractional_positions": [[0.1611, 0.6611, 0.8223], [0.2500, 0.2500, 0.0000], [0.3389, 0.1611, 0.5000], [0.6611, 0.8389, 0.5000], [0.7500, 0.7500, 0.0000], [0.8389, 0.3389, 0.1777], [0.0775, 0.2159, 0.2934], [0.2159, 0.9225, 0.1384], [0.2500, 0.7500, 0.5000], [0.2841, 0.4225, 0.7066], [0.4225, 0.7159, 0.1384], [0.5775, 0.2841, 0.8616], [0.7159, 0.5775, 0.2934], [0.7500, 0.2500, 0.5000], [0.7841, 0.0775, 0.8616], [0.9225, 0.7841, 0.7066]],
  "m_tot_mub_per_cell": 0.00,
  "raw_formation_energy_ev_per_atom": -0.549,
  "polymorph_energy_mev_per_atom": 19,
  "spacegroup": "No. 140"
}


No. 17
{
  "formula": "Si3NiSn",
  "functional": "GGA-PBEsol",
  "state": "relaxed",
  "lattice": [[4.9966, 0.0000, 0.0000], [0.0000, 4.9966, 0.0000], [0.0000, 0.0000, 4.9966]],
  "species": ["Si", "Si", "Si", "Ni", "Sn"],
  "fractional_positions": [[0.0000, 0.0000, 0.5000], [0.0000, 0.5000, 0.0000], [0.5000, 0.0000, 0.0000], [0.5000, 0.5000, 0.5000], [0.0000, 0.0000, 0.0000]],
  "m_tot_mub_per_cell": 0.00,
  "raw_formation_energy_ev_per_atom": 1.783,
  "spacegroup": "No. 221"
}


No. 18
{
  "formula": "Sr2SiNi",
  "functional": "GGA-PBEsol",
  "state": "relaxed",
  "lattice": [[4.2445, 0.0000, 0.0000], [0.0000, 4.7752, 0.0000], [0.0000, 0.0000, 10.3356]],
  "species": ["Sr", "Sr", "Sr", "Sr", "Si", "Si", "Ni", "Ni"],
  "fractional_positions": [[0.0000, 0.0000, 0.0000], [0.0000, 0.5000, 0.5000], [0.5000, 0.0000, 0.2946], [0.5000, 0.5000, 0.7946], [0.5000, 0.0000, 0.6090], [0.5000, 0.5000, 0.1090], [0.0000, 0.0000, 0.6827], [0.0000, 0.5000, 0.1827]],
  "m_tot_mub_per_cell": 0.00,
  "raw_formation_energy_ev_per_atom": -0.312,
  "spacegroup": "No. 38"
}


No. 19
{
  "formula": "Sr2SiNi",
  "functional": "GGA-PBEsol",
  "state": "relaxed",
  "lattice": [[4.0911, 0.0000, 0.0000], [-2.0455, 3.5430, 0.0000], [0.0000, 0.0000, 24.3115]],
  "species": ["Sr", "Sr", "Sr", "Sr", "Sr", "Sr", "Si", "Si", "Si", "Ni", "Ni", "Ni"],
  "fractional_positions": [[0.0000, 0.0000, 0.0000], [0.0000, 0.0000, 0.1684], [0.3333, 0.6667, 0.6667], [0.3333, 0.6667, 0.8351], [0.6667, 0.3333, 0.3333], [0.6667, 0.3333, 0.5018], [0.0000, 0.0000, 0.7509], [0.3333, 0.6667, 0.4176], [0.6667, 0.3333, 0.0842], [0.0000, 0.0000, 0.4175], [0.3333, 0.6667, 0.0842], [0.6667, 0.3333, 0.7509]],
  "m_tot_mub_per_cell": 0.00,
  "raw_formation_energy_ev_per_atom": -0.383,
  "spacegroup": "No. 160"
}


No. 20
{
  "formula": "TaSi2Ni",
  "functional": "GGA-PBEsol",
  "state": "relaxed",
  "lattice": [[2.7111, 0.0000, 0.0000], [0.0000, 4.2531, 0.0000], [0.0000, 0.0000, 4.6901]],
  "species": ["Ta", "Si", "Si", "Ni"],
  "fractional_positions": [[0.0000, 0.0000, 0.0000], [0.5000, 0.0000, 0.5048], [0.5000, 0.5000, 0.2225], [0.5000, 0.5000, 0.7288]],
  "m_tot_mub_per_cell": 0.00,
  "raw_formation_energy_ev_per_atom": -0.351,
  "spacegroup": "No. 25"
}